Record 1
The following is a DFT calculation (PBE) of a relaxed structure of ReHg2Bi.

Lattice parameters (Å, degrees): 4.1877 4.1877 21.4532 90.00 90.00 90.00
Closest atoms and distances in Å follow each position.
Space group I-42d (No. 122)
Asymmetric unit:
Re  0.0000  0.0000  0.0000 (multiplicity 4)  4 Bi 2.96, 4 Hg 3.03
Hg  0.2242  0.2500  0.1250 (multiplicity 8)  4 Hg 2.81-3.12, 2 Re 3.03, 2 Bi 3.10
Bi  0.0000  0.0000  0.5000 (multiplicity 4)  4 Re 2.96, 4 Hg 3.10

calculated volume: 376.2 Å³/cell
calculated formation energy: 0.9582 eV per atom
magnetic moment: 0.380 μB per atom
N(E_F): 0.56 states/eV per atom

=====

Record 2
The following is a DFT calculation (PBE) of a relaxed structure of ReHgBi3.

Lattice parameters (Å, degrees): 5.6138 5.6138 5.6138 90.00 90.00 90.00
Closest atoms and distances in Å follow each position.
Space group Pm-3m (No. 221)
Asymmetric unit:
Re  0.0000  0.0000  0.0000 (multiplicity 1)  12 Bi 3.97
Hg  0.5000  0.5000  0.5000 (multiplicity 1)  6 Bi 2.81
Bi  0.0000  0.5000  0.5000 (multiplicity 3)  2 Hg 2.81

calculated volume: 176.9 Å³/cell
calculated formation energy: 1.7791 eV per atom
magnetic moment: 0.693 μB per atom
N(E_F): 1.04 states/eV per atom
distance to the lowest polymorph of the same formula: 1077 meV per atom

=====

Record 3
The following is a DFT calculation (PBE) of a relaxed structure of Re2HgBi.

Lattice parameters (Å, degrees): 4.1791 4.1791 19.9773 90.00 90.00 90.00
Closest atoms and distances in Å follow each position.
Space group I-42d (No. 122)
Asymmetric unit:
Re  0.1602  0.2500  0.1250 (multiplicity 8)  2 Re 2.48
Hg  0.0000  0.0000  0.0000 (multiplicity 4)  4 Re 2.79, 4 Bi 2.96
Bi  0.0000  0.0000  0.5000 (multiplicity 4)  4 Hg 2.96, 4 Re 3.06

calculated volume: 348.9 Å³/cell
calculated formation energy: 1.0790 eV per atom
magnetic moment: 0.000 μB per atom
N(E_F): 0.20 states/eV per atom
distance to the lowest polymorph of the same formula: 0 meV per atom

=====

Record 4
The following is a DFT calculation (PBE) of a relaxed structure of Re2HgBiRh.

Lattice parameters (Å, degrees): 4.7665 4.7665 5.3733 90.00 90.00 90.00
Closest atoms and distances in Å follow each position.
Space group P4/mmm (No. 123)
Asymmetric unit:
Re  0.0000  0.5000  0.0000 (multiplicity 2)  2 Rh 2.38
Hg  0.0000  0.0000  0.5000 (multiplicity 1)  4 Bi 3.37, 8 Re 3.59
Bi  0.5000  0.5000  0.5000 (multiplicity 1)  2 Rh 2.69
Rh  0.5000  0.5000  0.0000 (multiplicity 1)  4 Re 2.38

calculated volume: 122.1 Å³/cell
calculated formation energy: 1.8304 eV per atom
magnetic moment: 0.531 μB per atom
N(E_F): 1.10 states/eV per atom

=====

Record 5
The following is a DFT calculation (PBE) of a relaxed structure of ScReHgBi2.

Lattice parameters (Å, degrees): 5.5561 5.5561 5.4292 90.00 90.00 90.00
Closest atoms and distances in Å follow each position.
Space group P4/mmm (No. 123)
Asymmetric unit:
Sc  0.0000  0.0000  0.0000 (multiplicity 1)  2 Hg 2.71, 4 Bi 2.78
Re  0.5000  0.5000  0.5000 (multiplicity 1)  8 Bi 3.88, 4 Hg 3.93
Hg  0.0000  0.0000  0.5000 (multiplicity 1)  2 Sc 2.71
Bi  0.0000  0.5000  0.0000 (multiplicity 2)  2 Sc 2.78

calculated volume: 167.6 Å³/cell
calculated formation energy: 1.3346 eV per atom
magnetic moment: 0.966 μB per atom
N(E_F): 0.96 states/eV per atom

=====

Record 6
The following is a DFT calculation (PBE) of a relaxed structure of ReSnHg2Bi.

Lattice parameters (Å, degrees): 5.3720 5.3720 5.1777 90.00 90.00 90.00
Closest atoms and distances in Å follow each position.
Space group P4/mmm (No. 123)
Asymmetric unit:
Re  0.0000  0.0000  0.0000 (multiplicity 1)  2 Bi 2.59, 4 Hg 2.69
Sn  0.5000  0.5000  0.5000 (multiplicity 1)  8 Hg 3.73, 4 Bi 3.80
Hg  0.0000  0.5000  0.0000 (multiplicity 2)  2 Re 2.69
Bi  0.0000  0.0000  0.5000 (multiplicity 1)  2 Re 2.59

calculated volume: 149.4 Å³/cell
calculated formation energy: 0.7997 eV per atom
magnetic moment: 0.080 μB per atom
N(E_F): 0.92 states/eV per atom

=====

Record 7
The following is a DFT calculation (PBE) of a relaxed structure of SrReHg2Bi.

Lattice parameters (Å, degrees): 5.3035 5.3035 5.8737 90.00 90.00 90.00
Closest atoms and distances in Å follow each position.
Space group P4/mmm (No. 123)
Asymmetric unit:
Sr  0.0000  0.0000  0.0000 (multiplicity 1)  2 Re 2.94
Re  0.0000  0.0000  0.5000 (multiplicity 1)  4 Hg 2.65, 2 Sr 2.94
Hg  0.0000  0.5000  0.5000 (multiplicity 2)  2 Re 2.65
Bi  0.5000  0.5000  0.0000 (multiplicity 1)  4 Sr 3.75, 8 Hg 3.96

calculated volume: 165.2 Å³/cell
calculated formation energy: 0.7776 eV per atom
magnetic moment: 0.501 μB per atom
N(E_F): 0.68 states/eV per atom

=====

Record 8
The following is a DFT calculation (PBE) of a relaxed structure of Ta2ReHgBi.

Lattice parameters (Å, degrees): 5.1907 5.1907 5.2484 90.00 90.00 90.00
Closest atoms and distances in Å follow each position.
Space group P4/mmm (No. 123)
Asymmetric unit:
Ta  0.0000  0.5000  0.0000 (multiplicity 2)  2 Bi 2.60
Re  0.0000  0.0000  0.5000 (multiplicity 1)  4 Hg 3.67, 8 Ta 3.69
Hg  0.5000  0.5000  0.5000 (multiplicity 1)  2 Bi 2.62
Bi  0.5000  0.5000  0.0000 (multiplicity 1)  4 Ta 2.60, 2 Hg 2.62

calculated volume: 141.4 Å³/cell
calculated formation energy: 2.8114 eV per atom
magnetic moment: 0.342 μB per atom
N(E_F): 1.75 states/eV per atom

=====

Record 9
The following is a DFT calculation (PBE) of a relaxed structure of Re2TcHgBi.

Lattice parameters (Å, degrees): 5.0169 5.0169 4.9976 90.00 90.00 90.00
Closest atoms and distances in Å follow each position.
Space group P4/mmm (No. 123)
Asymmetric unit:
Re  0.0000  0.5000  0.0000 (multiplicity 2)  2 Bi 2.51
Tc  0.0000  0.0000  0.5000 (multiplicity 1)  2 Bi 2.50
Hg  0.5000  0.5000  0.5000 (multiplicity 1)  8 Re 3.54, 4 Tc 3.55
Bi  0.0000  0.0000  0.0000 (multiplicity 1)  2 Tc 2.50, 4 Re 2.51

calculated volume: 125.8 Å³/cell
calculated formation energy: 2.8074 eV per atom
magnetic moment: 0.736 μB per atom
N(E_F): 1.30 states/eV per atom

=====

Record 10
The following is a DFT calculation (PBE) of a relaxed structure of HgBiRh2.

Lattice parameters (Å, degrees): 3.3506 3.3506 24.2684 90.00 90.00 120.00
Closest atoms and distances in Å follow each position.
Space group R3m (No. 160, hexagonal axes)
Asymmetric unit:
Hg  0.0000  0.0000  0.0000 (multiplicity 3)  6 Rh 2.84-2.86
Bi  0.0000  0.0000  0.8331 (multiplicity 3)  6 Rh 2.75
Rh  0.0000  0.0000  0.2467 (multiplicity 3)  3 Bi 2.75, 3 Hg 2.86
Rh  0.0000  0.0000  0.4192 (multiplicity 3)  3 Bi 2.75, 3 Hg 2.84

calculated volume: 235.9 Å³/cell
calculated formation energy: 0.1772 eV per atom
magnetic moment: 0.000 μB per atom
N(E_F): 0.60 states/eV per atom

=====

Record 11
The following is a DFT calculation (PBE) of a relaxed structure of HgBi2Rh.

Lattice parameters (Å, degrees): 3.3818 3.3818 9.1427 90.00 90.00 90.00
Closest atoms and distances in Å follow each position.
Space group P4/mmm (No. 123)
Asymmetric unit:
Hg  0.0000  0.0000  0.0000 (multiplicity 1)  4 Hg 3.38, 8 Bi 3.76
Bi  0.5000  0.5000  0.3172 (multiplicity 2)  4 Rh 2.92
Rh  0.0000  0.0000  0.5000 (multiplicity 1)  8 Bi 2.92

calculated volume: 104.6 Å³/cell
calculated formation energy: -0.0978 eV per atom
magnetic moment: 0.000 μB per atom
N(E_F): 0.40 states/eV per atom

=====

Record 12
The following is a DFT calculation (PBE) of a relaxed structure of Hg2BiRh.

Lattice parameters (Å, degrees): 3.4763 3.5273 9.5333 79.62 89.86 60.61
Closest atoms and distances in Å follow each position.
Space group P1 (No. 1)
Asymmetric unit:
Hg  0.0000  0.0000  0.0000 (multiplicity 1)  3 Rh 2.84-2.85
Hg  0.2308  0.5173  0.7204 (multiplicity 1)  9 Hg 3.28-3.53, 3 Bi 3.57-3.59
Bi  0.4636  0.0635  0.4045 (multiplicity 1)  3 Rh 2.69-2.70
Rh  0.7349  0.5257  0.2140 (multiplicity 1)  3 Bi 2.69-2.70, 3 Hg 2.84-2.85

calculated volume: 99.7 Å³/cell
calculated formation energy: 0.0141 eV per atom
magnetic moment: 0.000 μB per atom
N(E_F): 0.09 states/eV per atom

=====

Record 13
The following is a DFT calculation (PBE) of a relaxed structure of HgBiRh.

Lattice parameters (Å, degrees): 3.2595 3.2595 12.8362 90.00 90.00 90.00
Closest atoms and distances in Å follow each position.
Space group I4mm (No. 107)
Asymmetric unit:
Hg  0.0000  0.0000  0.0000 (multiplicity 2)  4 Rh 2.93, 4 Hg 3.26
Bi  0.0000  0.0000  0.2713 (multiplicity 2)  4 Rh 2.85
Rh  0.0000  0.0000  0.6411 (multiplicity 2)  4 Bi 2.85, 4 Hg 2.93

calculated volume: 136.4 Å³/cell
calculated formation energy: -0.0088 eV per atom
magnetic moment: 0.000 μB per atom
N(E_F): 0.49 states/eV per atom
distance to the lowest polymorph of the same formula: 3 meV per atom

=====

Record 14
The following is a DFT calculation (PBE) of a relaxed structure of HgBi6Rh.

Lattice parameters (Å, degrees): 14.4377 9.9510 10.2207 90.00 133.97 90.00
Closest atoms and distances in Å follow each position.
Space group C2/m (No. 12)
Asymmetric unit:
Hg  0.2500  0.2500  0.0000 (multiplicity 4)  6 Bi 3.02-3.10
Bi  0.0172  0.1592  0.3634 (multiplicity 8)  1 Rh 2.75
Bi  0.1228  0.5000  0.7684 (multiplicity 4)  2 Hg 3.02, 2 Bi 3.18
Bi  0.1529  0.3429  0.1706 (multiplicity 8)  1 Rh 2.76, 1 Hg 3.04
Bi  0.1834  0.5000  0.5233 (multiplicity 4)  2 Rh 2.74
Rh  0.2500  0.2500  0.5000 (multiplicity 4)  6 Bi 2.74-2.76

calculated volume: 1056.8 Å³/cell
calculated formation energy: 0.0147 eV per atom
magnetic moment: 0.000 μB per atom
N(E_F): 0.54 states/eV per atom

=====

Record 15
The following is a DFT calculation (PBE) of a relaxed structure of HgBi2Rh.

Lattice parameters (Å, degrees): 4.0591 4.0591 22.8712 90.00 90.00 120.00
Closest atoms and distances in Å follow each position.
Space group R-3m (No. 166, hexagonal axes)
Asymmetric unit:
Hg  0.0000  0.0000  0.0000 (multiplicity 3)  6 Bi 3.33
Bi  0.0000  0.0000  0.2297 (multiplicity 6)  3 Rh 2.75
Rh  0.0000  0.0000  0.5000 (multiplicity 3)  6 Bi 2.75

calculated volume: 326.3 Å³/cell
calculated formation energy: -0.0511 eV per atom
magnetic moment: 0.000 μB per atom
N(E_F): 0.44 states/eV per atom

=====

Record 16
The following is a DFT calculation (PBE) of a relaxed structure of HgBiRh.

Lattice parameters (Å, degrees): 6.5603 6.5603 6.5603 90.00 90.00 90.00
Closest atoms and distances in Å follow each position.
Space group F-43m (No. 216)
Asymmetric unit:
Hg  0.0000  0.0000  0.0000 (multiplicity 4)  4 Rh 2.84
Bi  0.0000  0.0000  0.5000 (multiplicity 4)  4 Rh 2.84
Rh  0.2500  0.2500  0.7500 (multiplicity 4)  4 Bi 2.84, 4 Hg 2.84

calculated volume: 282.3 Å³/cell
calculated formation energy: -0.0123 eV per atom
magnetic moment: 0.000 μB per atom
N(E_F): 0.65 states/eV per atom
distance to the lowest polymorph of the same formula: 0 meV per atom

=====

Record 17
The following is a DFT calculation (PBE) of a relaxed structure of HgBiRh2.

Lattice parameters (Å, degrees): 7.3415 7.3415 6.0493 90.00 90.00 90.00
Closest atoms and distances in Å follow each position.
Space group I-42d (No. 122)
Asymmetric unit:
Hg  0.0000  0.0000  0.0000 (multiplicity 4)  4 Rh 2.76, 2 Bi 3.02
Bi  0.0000  0.0000  0.5000 (multiplicity 4)  4 Rh 2.65
Rh  0.2397  0.2500  0.6250 (multiplicity 8)  2 Bi 2.65, 2 Hg 2.76

calculated volume: 326.0 Å³/cell
calculated formation energy: 0.3150 eV per atom
magnetic moment: 0.000 μB per atom
N(E_F): 0.72 states/eV per atom

=====

Record 18
The following is a DFT calculation (PBE) of a relaxed structure of HgBi2Rh.

Lattice parameters (Å, degrees): 9.0827 9.0827 5.4123 90.00 90.00 90.00
Closest atoms and distances in Å follow each position.
Space group I-42d (No. 122)
Asymmetric unit:
Hg  0.0000  0.0000  0.0000 (multiplicity 4)  2 Rh 2.71
Bi  0.1469  0.2500  0.6250 (multiplicity 8)  2 Rh 2.72
Rh  0.0000  0.0000  0.5000 (multiplicity 4)  2 Hg 2.71, 4 Bi 2.72

calculated volume: 446.5 Å³/cell
calculated formation energy: 0.0096 eV per atom
magnetic moment: 0.000 μB per atom
N(E_F): 0.59 states/eV per atom

=====

Record 19
The following is a DFT calculation (PBE) of a relaxed structure of Hg2BiRh.

Lattice parameters (Å, degrees): 3.4872 3.4910 9.7700 88.80 88.73 60.53
Closest atoms and distances in Å follow each position.
Space group P1 (No. 1)
Asymmetric unit:
Hg  0.0000  0.0000  0.0000 (multiplicity 1)  3 Rh 2.83, 1 Hg 3.01
Hg  0.0023  0.0048  0.3081 (multiplicity 1)  1 Hg 3.01
Bi  0.3477  0.3435  0.6138 (multiplicity 1)  3 Rh 2.70
Rh  0.6742  0.6720  0.7969 (multiplicity 1)  3 Bi 2.70, 3 Hg 2.83

calculated volume: 103.5 Å³/cell
calculated formation energy: 0.0103 eV per atom
magnetic moment: 0.000 μB per atom
N(E_F): 0.02 states/eV per atom

=====

Record 20
The following is a DFT calculation (PBE) of a relaxed structure of HgBi2Rh.

Lattice parameters (Å, degrees): 4.2285 4.2285 21.3459 90.00 90.00 120.00
Closest atoms and distances in Å follow each position.
Space group R3m (No. 160, hexagonal axes)
Asymmetric unit:
Hg  0.0000  0.0000  0.0000 (multiplicity 3)  6 Bi 3.31-3.33, 1 Rh 3.55
Bi  0.0000  0.0000  0.2275 (multiplicity 3)  3 Rh 2.76
Bi  0.0000  0.0000  0.4384 (multiplicity 3)  3 Rh 2.78
Rh  0.0000  0.0000  0.8335 (multiplicity 3)  6 Bi 2.76-2.78

calculated volume: 330.5 Å³/cell
calculated formation energy: -0.0206 eV per atom
magnetic moment: 0.000 μB per atom
N(E_F): 0.59 states/eV per atom